[1]
Compound: LiAlMo2
Source: Alexandria via LeMat-Bulk
Functional: GGA-PBE
Structure: relaxed

Computed properties:
Formation energy: 0.4 eV per formula unit
Magnetic moment: 0.0 μB/f.u.
D(E_F): 0.5215 states/eV per atom

Cell: 4.3806 2.6516 5.4361 Å, 71.82 90.00 90.00°
Last column: nearest neighbours and their distance in Å.
Element x y z (fractional)
1 Al 0.5000 0.2500 0.2500  2 Li 2.63, 2 Al 2.65, 4 Mo 2.78
2 Li 0.5000 0.7500 0.7500  2 Al 2.63, 2 Li 2.65, 4 Mo 2.75
3 Mo 0.0000 0.9809 0.0009  4 Mo 2.60-2.66, 2 Li 2.75, 2 Al 2.78
4 Mo 0.0000 0.5191 0.4991  4 Mo 2.60-2.66, 2 Li 2.75, 2 Al 2.78

***

[2]
Compound: LiAlMo
Source: Alexandria via LeMat-Bulk
Functional: GGA-PBE
Structure: relaxed

Computed properties:
Formation energy: 0.4 eV per formula unit
Magnetic moment: 0.0 μB/f.u.
D(E_F): 0.5749 states/eV per atom

Cell: 5.0595 5.0595 5.0595 Å, 149.53 137.91 52.84°
Last column: nearest neighbours and their distance in Å.
Element x y z (fractional)
1 Al 0.9918 0.9918 0.0000  4 Li 2.62, 2 Al 2.66, 4 Mo 2.74
2 Li 0.3439 0.3439 0.0000  4 Al 2.62, 2 Li 2.66, 5 Mo 2.78-2.90
3 Mo 0.6643 0.6643 0.0000  2 Mo 2.66, 5 Al 2.74-2.97, 5 Li 2.78-2.90

***

[3]
Compound: LiAlMo2
Source: Alexandria via LeMat-Bulk
Functional: GGA-PBE
Structure: relaxed

Computed properties:
Formation energy: 0.4 eV per formula unit
Magnetic moment: 0.0 μB/f.u.
D(E_F): 0.5104 states/eV per atom

Cell: 5.0031 5.0031 2.6755 Å, 90.00 90.00 116.79°
Last column: nearest neighbours and their distance in Å.
Element x y z (fractional)
1 Al 0.5000 0.0000 0.5000  2 Li 2.62, 2 Al 2.68, 8 Mo 2.84
2 Li 0.0000 0.5000 0.5000  2 Al 2.62, 2 Li 2.68, 8 Mo 2.84
3 Mo 0.0000 0.0000 0.0000  4 Mo 2.62-2.68, 4 Al 2.84, 4 Li 2.84
4 Mo 0.5000 0.5000 0.0000  4 Mo 2.62-2.68, 4 Li 2.84, 4 Al 2.84

***

[4]
Compound: LiAlMo2
Source: Alexandria via LeMat-Bulk
Functional: GGA-PBE
Structure: relaxed

Computed properties:
Formation energy: 0.6 eV per formula unit
Magnetic moment: 0.0 μB/f.u.
D(E_F): 0.6673 states/eV per atom

Cell: 2.6541 2.6541 8.9842 Å, 90.00 90.00 90.00°
Last column: nearest neighbours and their distance in Å.
Element x y z (fractional)
1 Al 0.0000 0.0000 0.4961  4 Al 2.65, 4 Mo 2.82, 4 Li 2.88
2 Li 0.5000 0.5000 0.7396  4 Li 2.65, 4 Al 2.88
3 Mo 0.0000 0.0000 0.0027  4 Mo 2.65
4 Mo 0.5000 0.5000 0.2616  4 Mo 2.65, 4 Al 2.82

***

[5]
Compound: Li2Al2Mo
Source: Alexandria via LeMat-Bulk
Functional: GGA-PBE
Structure: relaxed

Computed properties:
Formation energy: 0.5 eV per formula unit
Magnetic moment: 0.0 μB/f.u.
D(E_F): 0.1977 states/eV per atom

Cell: 7.2343 7.2343 2.7548 Å, 90.00 90.00 90.00°
Last column: nearest neighbours and their distance in Å.
Element x y z (fractional)
1 Mo 0.0000 0.0000 0.0000  2 Mo 2.75, 4 Al 2.79, 8 Li 3.06
2 Mo 0.5000 0.5000 0.0000  2 Mo 2.75, 4 Al 2.79, 8 Li 3.06
3 Al 0.3579 0.8579 0.0000  6 Li 2.47-2.57, 2 Al 2.75
4 Al 0.8579 0.6421 0.0000  6 Li 2.47-2.57, 2 Al 2.75
5 Al 0.6421 0.1421 0.0000  6 Li 2.47-2.57, 2 Al 2.75
6 Al 0.1421 0.3579 0.0000  6 Li 2.47-2.57, 2 Al 2.75
7 Li 0.1574 0.6574 0.5000  6 Al 2.47-2.57, 2 Li 2.75
8 Li 0.6574 0.8426 0.5000  6 Al 2.47-2.57, 2 Li 2.75
9 Li 0.8426 0.3426 0.5000  6 Al 2.47-2.57, 2 Li 2.75
10 Li 0.3426 0.1574 0.5000  6 Al 2.47-2.57, 2 Li 2.75

***

[6]
Compound: LiAlMo2
Source: Alexandria via LeMat-Bulk
Functional: GGA-PBE
Structure: relaxed

Computed properties:
Formation energy: 2.4 eV per formula unit
Magnetic moment: 0.0 μB/f.u.
D(E_F): 0.7574 states/eV per atom

Cell: 6.9134 6.9134 5.5248 Å, 51.27 51.27 90.00°
Last column: nearest neighbours and their distance in Å.
Element x y z (fractional)
1 Mo 0.6200 0.1250 0.2500  2 Li 2.50, 2 Al 2.55, 2 Mo 2.58
2 Mo 0.1300 0.6250 0.2500  2 Li 2.50, 2 Al 2.55, 2 Mo 2.58
3 Mo 0.3750 0.3800 0.7500  2 Li 2.50, 2 Al 2.55, 2 Mo 2.58
4 Mo 0.8750 0.8700 0.7500  2 Li 2.50, 2 Al 2.55, 2 Mo 2.58
5 Al 0.0000 0.0000 0.0000  4 Mo 2.55, 2 Li 2.57
6 Al 0.7500 0.2500 0.5000  4 Mo 2.55, 2 Li 2.57
7 Li 0.5000 0.5000 0.0000  4 Mo 2.50, 2 Al 2.57
8 Li 0.2500 0.7500 0.5000  4 Mo 2.50, 2 Al 2.57